VASP calculation (PBE) on a geometry-optimized Y2HoTh4 structure.

Geometry as CIF:
```
data_Y2HoTh4
_cell_length_a 5.661
_cell_length_b 5.661
_cell_length_c 16.582
_cell_angle_alpha 90.00
_cell_angle_beta 90.00
_cell_angle_gamma 90.00
_space_group_name_H-M_alt 'I 4/m m m'
_space_group_IT_number 139
_space_group_name_Hall '-I 4 2'
loop_
_atom_site_label
_atom_site_fract_x
_atom_site_fract_y
_atom_site_fract_z
Y1 0.000 0.000 0.117
Ho1 0.000 0.000 0.500
Th1 0.000 0.000 0.316
Th2 0.000 0.500 0.000
```

total magnetic moment: 0.12 μB per atom
energy relative to the lowest polymorph listed for this composition: 640 meV/atom
uncorrected energy: -0.4238 Ry/atom
formation energy from the elements: 974 meV/atom